Density functional theory data (PBE+U) for a geometry-optimized Ca2NiOsO6 structure.

Computed properties:
Density of states at the Fermi level, states/eV/f.u.: 5.287
Mass density, Mg/m³: 6.010
Space-group type: No. 14
DFT total energy, eV per atom: -6.632

Cell: 5.4191 5.6063 7.7312 Å, 90.00 90.33 90.00°
With the nearest neighbours (Å) after each atom.
Fractional positions:
Ca  0.9857  0.0575  0.2523  6 O 2.33-2.59
Ca  0.5143  0.5575  0.2477  6 O 2.33-2.59
Ca  0.0143  0.9425  0.7477  6 O 2.33-2.59
Ca  0.4857  0.4425  0.7523  6 O 2.33-2.59
Ni  0.5000  0.0000  0.0000  6 O 2.07-2.10
Ni  0.0000  0.5000  0.5000  6 O 2.07-2.10
Os  0.5000  0.0000  0.5000  6 O 1.94-1.95
Os  0.0000  0.5000  0.0000  6 O 1.94-1.95
O  0.6888  0.2868  0.4492  1 Os 1.95, 1 Ni 2.10
O  0.8112  0.7868  0.0508  1 Os 1.95, 1 Ni 2.10
O  0.3112  0.7132  0.5508  1 Os 1.95, 1 Ni 2.10
O  0.1888  0.2132  0.9492  1 Os 1.95, 1 Ni 2.10
O  0.2086  0.1941  0.5463  1 Os 1.95, 1 Ni 2.08
O  0.2914  0.6941  0.9537  1 Os 1.95, 1 Ni 2.08
O  0.7914  0.8059  0.4537  1 Os 1.95, 1 Ni 2.08
O  0.7086  0.3059  0.0463  1 Os 1.95, 1 Ni 2.08
O  0.0936  0.4718  0.2421  1 Os 1.94, 1 Ni 2.07
O  0.4065  0.9718  0.2579  1 Os 1.94, 1 Ni 2.07
O  0.5935  0.0282  0.7421  1 Os 1.94, 1 Ni 2.07
O  0.9064  0.5282  0.7579  1 Os 1.94, 1 Ni 2.07